No. 1
GdAlInNi: relaxed, PBE.

Results
Calculated total energy   -37.57 eV for the cell shown
Magnetic moment   0.00 μB/f.u.
Energy relative to the lowest polymorph listed for this composition   13 meV per atom
V   157.5 Å³/cell

Unit cell a=7.155 b=5.639 c=5.639 alpha=43.82 beta=90.00 gamma=90.00
Fractional positions:
1 Gd 0.000 0.432 0.432
2 Gd 0.500 0.560 0.560
3 Al 0.691 0.845 0.845
4 Al 0.309 0.845 0.845
5 Ni 0.500 0.297 0.297
6 Ni 0.000 0.731 0.731
7 In 0.203 0.145 0.145
8 In 0.797 0.145 0.145

---

No. 2
SmPPt: relaxed, PBE.

Results
Calculated total energy   -20.23 eV for the cell shown
Magnetic moment   0.00 μB/f.u.
V   60.2 Å³/cell

Unit cell a=4.165 b=4.165 c=4.003 alpha=90.00 beta=90.00 gamma=120.00
Fractional positions:
1 Sm 0.000 0.000 0.000
2 Pt 0.333 0.667 0.500
3 P 0.667 0.333 0.500

---

No. 3
SmInFeS3: relaxed, PBE.

Results
Calculated total energy   -67.93 eV for the cell shown
Magnetic moment   4.00 μB/f.u.
V   300.2 Å³/cell

Unit cell a=7.348 b=7.348 c=10.634 alpha=90.00 beta=90.00 gamma=31.53
Each line ends with the local moment (μB).
Fractional positions:
1 Fe 0.527 0.527 0.750  3.19
2 Fe 0.473 0.473 0.250  3.18
3 S 0.375 0.375 0.079  0.11
4 S 0.375 0.375 0.421  0.11
5 S 0.937 0.937 0.750  0.14
6 S 0.625 0.625 0.921  0.11
7 S 0.063 0.063 0.250  0.14
8 S 0.625 0.625 0.579  0.11
9 Sm 0.000 0.000 0.000  0.00
10 Sm 0.000 0.000 0.500  0.00
11 In 0.752 0.752 0.250  0.02
12 In 0.248 0.248 0.750  0.02

---

No. 4
SmBeAg3: relaxed, PBE.

Results
Calculated total energy   -17.10 eV for the cell shown
Magnetic moment   0.00 μB/f.u.
V   97.0 Å³/cell

Unit cell a=4.594 b=4.594 c=4.594 alpha=90.00 beta=90.00 gamma=90.00
Fractional positions:
1 Sm 0.500 0.500 0.500
2 Be 0.000 0.000 0.000
3 Ag 0.000 0.500 0.000
4 Ag 0.500 0.000 0.000
5 Ag 0.000 0.000 0.500

---

No. 5
DyPuU: relaxed, PBE.

Results
Calculated total energy   -27.48 eV for the cell shown
Magnetic moment   8.91 μB/f.u.
Energy of formation   0.8468 eV/atom
Energy relative to the lowest polymorph listed for this composition   0 meV per atom
V   84.4 Å³/cell

Unit cell a=4.923 b=4.923 c=4.923 alpha=60.00 beta=60.00 gamma=60.00
Each line ends with the local moment (μB).
Fractional positions:
1 U 0.250 0.250 0.250  2.48
2 Pu 0.000 0.000 0.000  5.62
3 Dy 0.750 0.750 0.750  0.44

---

No. 6
HoLu2Sc3Bi2Os: relaxed, PBE.

Results
Calculated total energy   -57.23 eV for the cell shown
Magnetic moment   0.03 μB/f.u.
V   224.7 Å³/cell

Unit cell a=4.195 b=7.863 c=7.863 alpha=119.97 beta=90.00 gamma=90.00
Fractional positions:
1 Sc 0.500 0.000 0.775
2 Sc 0.500 0.775 0.000
3 Sc 0.500 0.228 0.228
4 Lu 0.000 0.999 0.382
5 Lu 0.000 0.382 0.999
6 Os 0.000 0.005 0.005
7 Bi 0.500 0.667 0.331
8 Bi 0.500 0.331 0.667
9 Ho 0.000 0.613 0.613

---

> What is the V in the fifth record?

84.4 Å³/cell

---

> Among the records above, which one has the highest magnetic moment?

DyPuU